(1)
The following is a PBE calculation of a geometry-optimized Zr2CrCu structure, from Alexandria via LeMat-Bulk.

Computed properties:
energy relative to the elements	0.0157	eV/atom
magnetic moment	0.7	μB/cell

abc: 3.2691 3.2747 6.4944
angles: 90.00 90.13 90.00
Last column: nearest neighbours and their distance in Å.
Space group P2/m (No. 10)
Inequivalent atoms, fractional coordinates:
Zr: 0.9996 0.0000 0.2399 (multiplicity 2)  4 Cr 2.79, 4 Cu 2.86-2.87, 1 Zr 3.12
Cr: 0.5000 0.5000 0.0000 (multiplicity 1)  8 Zr 2.79
Cu: 0.5000 0.5000 0.5000 (multiplicity 1)  8 Zr 2.86-2.87

=====

(2)
The following is a PBE calculation of a geometry-optimized NaCoGe structure, from Alexandria via LeMat-Bulk.

Computed properties:
energy relative to the elements	-0.0520	eV/atom
magnetic moment	1.2	μB/cell

abc: 2.9737 4.3225 9.8222
angles: 84.46 89.67 70.04
Last column: nearest neighbours and their distance in Å.
Space group P-1 (No. 2)
Inequivalent atoms, fractional coordinates:
Na: 0.1613 0.1936 0.1580 (multiplicity 2)  2 Na 2.97, 3 Ge 3.06-3.14, 2 Co 3.09-3.10
Co: 0.3667 0.7634 0.5679 (multiplicity 2)  5 Ge 2.34-2.49
Ge: 0.0933 0.3052 0.6297 (multiplicity 2)  5 Co 2.34-2.49

=====

(3)
The following is a PBE calculation of a geometry-optimized Pa2AlRe2 structure, from Alexandria via LeMat-Bulk.

Computed properties:
energy above the lowest structure with this stoichiometry	0.0121	eV/atom
energy relative to the elements	-0.1991	eV/atom
magnetic moment	0.0	μB/cell

abc: 4.4111 5.9148 7.7207
angles: 90.00 90.00 90.00
Last column: nearest neighbours and their distance in Å.
Space group Immm (No. 71)
Inequivalent atoms, fractional coordinates:
Pa: 0.0000 0.0000 0.1896 (multiplicity 4)  6 Re 2.81-3.04, 1 Pa 2.93
Al: 0.0000 0.5000 0.0000 (multiplicity 2)  4 Re 2.65
Re: 0.0000 0.2488 0.5000 (multiplicity 4)  2 Al 2.65, 2 Pa 2.81, 1 Re 2.94